1.
{
  "formula": "ScC",
  "functional": "PBE-GGA",
  "state": "relaxed",
  "cell": [[4.6885, 0.0000, 0.0000], [0.0000, 4.6885, 0.0000], [0.0000, 0.0000, 4.6885]],
  "species": ["Sc", "Sc", "Sc", "Sc", "C", "C", "C", "C"],
  "fractional_positions": [[0.0000, 0.0000, 0.0000], [0.0000, 0.5000, 0.5000], [0.5000, 0.0000, 0.5000], [0.5000, 0.5000, 0.0000], [0.0000, 0.0000, 0.5000], [0.0000, 0.5000, 0.0000], [0.5000, 0.0000, 0.0000], [0.5000, 0.5000, 0.5000]],
  "dft_energy_ev_per_atom": -7.91,
  "m_tot_mub_per_fu": 0.00,
  "e_form_ev_per_atom": -0.134
}

***

2.
{
  "formula": "Sc2C",
  "functional": "PBE-GGA",
  "state": "relaxed",
  "cell": [[3.1613, 0.0000, 0.0000], [0.0000, 10.9004, 0.0000], [0.0000, 0.0000, 5.6960]],
  "species": ["Sc", "Sc", "Sc", "Sc", "Sc", "Sc", "Sc", "Sc", "C", "C", "C", "C"],
  "fractional_positions": [[0.0000, 0.0112, 0.0000], [0.0000, 0.2480, 0.3488], [0.0000, 0.7520, 0.8488], [0.0000, 0.9888, 0.5000], [0.5000, 0.2520, 0.8488], [0.5000, 0.4888, 0.5000], [0.5000, 0.5112, 0.0000], [0.5000, 0.7480, 0.3488], [0.0000, 0.3806, 0.6973], [0.0000, 0.6194, 0.1973], [0.5000, 0.1194, 0.1973], [0.5000, 0.8806, 0.6973]],
  "dft_energy_ev_per_atom": -7.54,
  "m_tot_mub_per_fu": 0.00,
  "e_form_ev_per_atom": -0.242
}

***

3.
{
  "formula": "Sc2C",
  "functional": "PBE-GGA",
  "state": "relaxed",
  "cell": [[3.3046, 0.0000, 0.0000], [0.0000, 14.1608, 0.0000], [0.0000, 0.0000, 4.6801]],
  "species": ["Sc", "Sc", "Sc", "Sc", "Sc", "Sc", "Sc", "Sc", "C", "C", "C", "C"],
  "fractional_positions": [[0.0000, 0.0821, 0.2500], [0.0000, 0.3003, 0.2500], [0.0000, 0.6997, 0.7500], [0.0000, 0.9179, 0.7500], [0.5000, 0.1997, 0.7500], [0.5000, 0.4179, 0.7500], [0.5000, 0.5821, 0.2500], [0.5000, 0.8003, 0.2500], [0.0000, 0.3139, 0.7500], [0.0000, 0.6861, 0.2500], [0.5000, 0.1861, 0.2500], [0.5000, 0.8139, 0.7500]],
  "dft_energy_ev_per_atom": -7.67,
  "m_tot_mub_per_fu": 0.14,
  "e_form_ev_per_atom": -0.372
}

***

4.
{
  "formula": "ScC",
  "functional": "PBE-GGA",
  "state": "relaxed",
  "cell": [[5.1011, 0.0000, 0.0000], [-2.5506, 4.4177, 0.0000], [0.0000, 0.0000, 3.5276]],
  "species": ["Sc", "Sc", "Sc", "C", "C", "C"],
  "fractional_positions": [[0.0000, 0.0000, 0.0000], [0.3333, 0.6667, 0.5000], [0.6667, 0.3333, 0.5000], [0.0000, 0.5000, 0.0000], [0.5000, 0.0000, 0.0000], [0.5000, 0.5000, 0.0000]],
  "dft_energy_ev_per_atom": -7.58,
  "m_tot_mub_per_fu": 0.23,
  "e_form_ev_per_atom": 0.194
}

***

5.
{
  "formula": "Sc2C",
  "functional": "PBE-GGA",
  "state": "relaxed",
  "cell": [[5.4913, 0.0000, 0.0000], [0.0000, 5.5587, 0.0000], [0.0000, 0.0000, 3.3497]],
  "species": ["Sc", "Sc", "Sc", "Sc", "C", "C"],
  "fractional_positions": [[0.2248, 0.1772, 0.0000], [0.2752, 0.6772, 0.5000], [0.7248, 0.3228, 0.5000], [0.7752, 0.8228, 0.0000], [0.0000, 0.0000, 0.5000], [0.5000, 0.5000, 0.0000]],
  "dft_energy_ev_per_atom": -7.67,
  "m_tot_mub_per_fu": 0.00,
  "e_form_ev_per_atom": -0.379
}

***

6.
{
  "formula": "Sc5C7",
  "functional": "PBE-GGA",
  "state": "relaxed",
  "cell": [[-3.5443, 3.5443, 2.9643], [3.5443, -3.5443, 2.9643], [3.5443, 3.5443, -2.9643]],
  "species": ["Sc", "Sc", "Sc", "Sc", "Sc", "C", "C", "C", "C", "C", "C", "C"],
  "fractional_positions": [[0.0000, 0.0000, 0.0000], [0.2290, 0.2290, 0.5881], [0.2290, 0.6408, 0.0000], [0.6408, 0.2290, 0.0000], [0.6408, 0.6408, 0.4119], [0.1197, 0.6197, 0.5000], [0.1311, 0.4407, 0.3096], [0.1311, 0.8215, 0.6904], [0.4407, 0.1311, 0.3096], [0.6115, 0.6115, 0.0000], [0.6197, 0.1197, 0.5000], [0.8215, 0.1311, 0.6904]],
  "dft_energy_ev_per_atom": -8.16,
  "m_tot_mub_per_fu": 0.51,
  "e_form_ev_per_atom": -0.136
}

***

7.
{
  "formula": "Sc3C2",
  "functional": "PBE-GGA",
  "state": "relaxed",
  "cell": [[0.0000, 4.9999, 3.3834], [4.9005, 0.0000, 3.3834], [4.9005, 4.9999, 0.0000]],
  "species": ["Sc", "Sc", "Sc", "Sc", "Sc", "Sc", "C", "C", "C", "C"],
  "fractional_positions": [[0.0000, 0.0000, 0.0000], [0.1518, 0.5495, 0.5320], [0.2500, 0.2500, 0.2500], [0.4833, 0.7180, 0.7005], [0.5495, 0.1518, 0.7667], [0.7180, 0.4833, 0.0982], [0.1742, 0.3923, 0.9112], [0.3388, 0.7276, 0.0758], [0.3923, 0.1742, 0.5224], [0.7276, 0.3388, 0.8577]],
  "dft_energy_ev_per_atom": -7.73,
  "m_tot_mub_per_fu": 0.49,
  "e_form_ev_per_atom": -0.244
}

***

8.
{
  "formula": "Sc2C",
  "functional": "PBE-GGA",
  "state": "relaxed",
  "cell": [[3.4454, 0.0000, 0.0000], [0.0000, 5.3157, 0.0000], [0.0000, 0.0000, 11.4860]],
  "species": ["Sc", "Sc", "Sc", "Sc", "Sc", "Sc", "Sc", "Sc", "C", "C", "C", "C"],
  "fractional_positions": [[0.0000, 0.0000, 0.1242], [0.0000, 0.0000, 0.8758], [0.0000, 0.5000, 0.3758], [0.0000, 0.5000, 0.6242], [0.5000, 0.0000, 0.3758], [0.5000, 0.0000, 0.6242], [0.5000, 0.5000, 0.1242], [0.5000, 0.5000, 0.8758], [0.0000, 0.0000, 0.5000], [0.0000, 0.5000, 0.0000], [0.5000, 0.0000, 0.0000], [0.5000, 0.5000, 0.5000]],
  "dft_energy_ev_per_atom": -7.31,
  "m_tot_mub_per_fu": 0.00,
  "e_form_ev_per_atom": -0.018
}

***

9.
{
  "formula": "ScC",
  "functional": "PBE-GGA",
  "state": "relaxed",
  "cell": [[3.3500, 0.0000, 0.0000], [0.0214, 3.5374, 0.0000], [1.6684, 0.5201, 4.0523]],
  "species": ["Sc", "Sc", "C", "C"],
  "fractional_positions": [[0.1414, 0.2347, 0.2199], [0.8586, 0.7653, 0.7801], [0.4246, 0.3638, 0.6548], [0.5754, 0.6362, 0.3452]],
  "dft_energy_ev_per_atom": -8.11,
  "m_tot_mub_per_fu": 0.00,
  "e_form_ev_per_atom": -0.335
}

***

10.
{
  "formula": "Sc2C",
  "functional": "PBE-GGA",
  "state": "relaxed",
  "cell": [[5.8177, 0.0000, 0.0000], [0.0000, 3.1689, 0.0000], [0.0000, 0.0000, 10.8053]],
  "species": ["Sc", "Sc", "Sc", "Sc", "Sc", "Sc", "Sc", "Sc", "C", "C", "C", "C"],
  "fractional_positions": [[0.0910, 0.2500, 0.2461], [0.2269, 0.7500, 0.0011], [0.2731, 0.2500, 0.5011], [0.4090, 0.7500, 0.7461], [0.5910, 0.2500, 0.2539], [0.7269, 0.7500, 0.4989], [0.7731, 0.2500, 0.9989], [0.9090, 0.7500, 0.7539], [0.0984, 0.2500, 0.8649], [0.4016, 0.7500, 0.3649], [0.5984, 0.2500, 0.6351], [0.9016, 0.7500, 0.1351]],
  "dft_energy_ev_per_atom": -7.59,
  "m_tot_mub_per_fu": 0.00,
  "e_form_ev_per_atom": -0.291
}

***

11.
{
  "formula": "ScC",
  "functional": "PBE-GGA",
  "state": "relaxed",
  "cell": [[3.5014, 0.0000, 0.0000], [0.0000, 8.7471, 0.0000], [0.0000, 0.0000, 2.9356]],
  "species": ["Sc", "Sc", "Sc", "Sc", "C", "C", "C", "C"],
  "fractional_positions": [[0.0000, 0.1401, 0.2500], [0.0000, 0.8599, 0.7500], [0.5000, 0.3599, 0.7500], [0.5000, 0.6401, 0.2500], [0.0000, 0.4444, 0.2500], [0.0000, 0.5556, 0.7500], [0.5000, 0.0556, 0.7500], [0.5000, 0.9444, 0.2500]],
  "dft_energy_ev_per_atom": -7.81,
  "m_tot_mub_per_fu": 0.00,
  "e_form_ev_per_atom": -0.032
}

***

12.
{
  "formula": "Sc2C",
  "functional": "PBE-GGA",
  "state": "relaxed",
  "cell": [[5.7417, 0.0000, 0.0000], [0.0000, 5.7417, 0.0000], [0.0000, 0.0000, 5.7417]],
  "species": ["Sc", "Sc", "Sc", "Sc", "Sc", "Sc", "Sc", "Sc", "C", "C", "C", "C"],
  "fractional_positions": [[0.1728, 0.1728, 0.1728], [0.1728, 0.3272, 0.6728], [0.3272, 0.6728, 0.1728], [0.3272, 0.8272, 0.6728], [0.6728, 0.1728, 0.3272], [0.6728, 0.3272, 0.8272], [0.8272, 0.6728, 0.3272], [0.8272, 0.8272, 0.8272], [0.0000, 0.0000, 0.5000], [0.0000, 0.5000, 0.0000], [0.5000, 0.0000, 0.0000], [0.5000, 0.5000, 0.5000]],
  "dft_energy_ev_per_atom": -7.53,
  "m_tot_mub_per_fu": 0.00,
  "e_form_ev_per_atom": -0.230
}

***

What is the formula in the fourth record?
ScC